Entry 1:
## RbNa2S (PBE-GGA)

Data for RbNa2S after structural relaxation.

The structure in CIF format:
```
data_RbNa2S
_chemical_formula_sum 'Rb1 Na2 S1'
_space_group_name_H-M_alt 'P 1'
_space_group_IT_number 1
_space_group_name_Hall 'P 1'
_cell_length_a 4.5627
_cell_length_b 4.5627
_cell_length_c 9.2995
_cell_angle_alpha 75.80
_cell_angle_beta 75.80
_cell_angle_gamma 60.00
loop_
_atom_site_label
_atom_site_type_symbol
_atom_site_fract_x
_atom_site_fract_y
_atom_site_fract_z
S1 S 0.0000 0.0000 0.0000
Na1 Na 0.2989 0.2989 0.1034
Na2 Na 0.7011 0.7011 0.8966
Rb1 Rb 0.5000 0.5000 0.5000
```

Computed properties:
**Calculated volume**: 40.2 Å³ per atom
**Raw formation energy**: -636 meV/atom
**VASP energy**: -2.5688 eV/atom

=====

Entry 2:
## RbNa2SbS4 (PBE-GGA)

Data for RbNa2SbS4 after structural relaxation.

The structure in CIF format:
```
data_RbNa2SbS4
_chemical_formula_sum 'Rb2 Na4 Sb2 S8'
_space_group_name_H-M_alt 'P 1'
_space_group_IT_number 1
_space_group_name_Hall 'P 1'
_cell_length_a 8.7229
_cell_length_b 8.7229
_cell_length_c 8.0859
_cell_angle_alpha 117.61
_cell_angle_beta 117.61
_cell_angle_gamma 98.56
loop_
_atom_site_label
_atom_site_type_symbol
_atom_site_fract_x
_atom_site_fract_y
_atom_site_fract_z
Rb1 Rb 0.0000 0.5000 0.5000
S1 S 0.7512 0.7488 0.9801
S2 S 0.2488 0.2512 0.0199
Na1 Na 0.5000 0.0000 0.5000
Na2 Na 0.5000 0.0000 0.0000
S3 S 0.7512 0.7488 0.5199
S4 S 0.6578 0.2938 0.4758
S5 S 0.7939 0.1578 0.9758
Sb1 Sb 0.5000 0.5000 0.5000
S6 S 0.2488 0.2512 0.4801
Na3 Na 0.0000 0.0000 0.5000
Rb2 Rb 0.0000 0.5000 0.0000
S7 S 0.3422 0.7061 0.5242
S8 S 0.2062 0.8422 0.0242
Na4 Na 0.5000 0.5000 0.0000
Sb2 Sb 0.0000 0.0000 0.0000
```

Computed properties:
**Calculated volume**: 26.8 Å³ per atom
**Raw formation energy**: -587 meV/atom
**VASP energy**: -3.6171 eV/atom

=====

Entry 3:
## RbNaSeS2 (PBE-GGA)

Data for RbNaSeS2 after structural relaxation.

The structure in CIF format:
```
data_RbNaSeS2
_chemical_formula_sum 'Rb2 Na2 Se2 S4'
_space_group_name_H-M_alt 'P 1'
_space_group_IT_number 1
_space_group_name_Hall 'P 1'
_cell_length_a 6.3107
_cell_length_b 7.0326
_cell_length_c 6.4689
_cell_angle_alpha 117.43
_cell_angle_beta 90.00
_cell_angle_gamma 90.00
loop_
_atom_site_label
_atom_site_type_symbol
_atom_site_fract_x
_atom_site_fract_y
_atom_site_fract_z
S1 S 0.2690 0.3051 0.1512
S2 S 0.2690 0.6949 0.3488
S3 S 0.7310 0.3051 0.6512
Na1 Na 0.5041 0.0000 0.7500
Rb1 Rb 0.2271 0.5000 0.7500
Rb2 Rb 0.7729 0.5000 0.2500
Na2 Na 0.4959 0.0000 0.2500
Se1 Se 0.0000 0.0000 0.0000
S4 S 0.7310 0.6949 0.8488
Se2 Se 0.0000 0.0000 0.5000
```

Computed properties:
**Calculated volume**: 25.5 Å³ per atom
**Raw formation energy**: -535 meV/atom
**VASP energy**: -3.3401 eV/atom

=====

What is the formula in the first record?
RbNa2S